## Tl3Hg3Pb (GGA-PBE)

Data for a relaxed Tl3Hg3Pb crystal.

POSCAR file:
```
Tl3Hg3Pb
1.0
-0.688 -6.163 -3.732
4.762 -3.443 4.224
-6.184 -2.097 4.953
Tl Hg Pb
6 6 2
Direct
0.257 0.257 0.535
0.264 0.736 0.500
0.736 0.264 0.500
0.278 0.722 0.000
0.722 0.278 0.000
0.743 0.743 0.465
0.980 0.980 0.754
0.479 0.033 0.248
0.033 0.479 0.248
0.521 0.967 0.752
0.967 0.521 0.752
0.020 0.020 0.246
0.243 0.243 0.962
0.757 0.757 0.038
```

## Properties
The calculation puts the energy of formation at 0.28 eV/f.u.